Entry from Alexandria via LeMat-Bulk: a relaxed CsLiHgSe crystal (PBE).

M_tot: 0.00 μB/cell
E_tot: -2.5018 eV/atom

abc: 4.5700 4.5700 12.8992
angles: 90.00 90.00 90.00
With the nearest neighbours (Å) after each atom.
Space group P4/nmm (No. 129, origin choice 2)
One atom of each set of equivalent atoms:
Cs: 0.2500 0.2500 0.2255 [2 per cell]  4 Se 3.59, 4 Li 3.70
Li: 0.2500 0.7500 0.0000 [2 per cell]  4 Se 2.65
Hg: 0.2500 0.7500 0.5000 [2 per cell]  4 Hg 3.23
Se: 0.2500 0.2500 0.8955 [2 per cell]  4 Li 2.65